Entry 1:
First-principles (PBE) data for a relaxed Zr3TlC crystal, as listed in the Alexandria database.

Properties
DFT formation energy, meV/atom: 97
Size of the total moment, μB/f.u.: 0.00
Symmetry: C2/c (15)

abc: 8.4891 8.4891 6.5825
angles: 101.45 101.45 85.05
Fractional positions:
Zr (0.1272, 0.1547, 0.3227)
Zr (0.1547, 0.1272, 0.8227)
Zr (0.1881, 0.4599, 0.6611)
Zr (0.2077, 0.7852, 0.5020)
Zr (0.2148, 0.7923, 0.9980)
Zr (0.4599, 0.1881, 0.1611)
Zr (0.5401, 0.8119, 0.8389)
Zr (0.7852, 0.2077, 0.0020)
Zr (0.7923, 0.2148, 0.4980)
Zr (0.8119, 0.5401, 0.3389)
Zr (0.8453, 0.8728, 0.1773)
Zr (0.8728, 0.8453, 0.6773)
Tl (0.1711, 0.4641, 0.1573)
Tl (0.4641, 0.1711, 0.6573)
Tl (0.5359, 0.8289, 0.3427)
Tl (0.8289, 0.5359, 0.8427)
C (0.0920, 0.9080, 0.2500)
C (0.3431, 0.6569, 0.7500)
C (0.6569, 0.3431, 0.2500)
C (0.9080, 0.0920, 0.7500)

***

Entry 2:
First-principles (PBE) data for a relaxed Zr3TlC crystal, as listed in the Alexandria database.

Properties
DFT formation energy, meV/atom: -162
Size of the total moment, μB/f.u.: 0.00
Symmetry: Cmce (64)

abc: 8.2297 8.2297 5.9576
angles: 90.00 90.00 105.72
Fractional positions:
Zr (0.0466, 0.9534, 0.7696)
Zr (0.1526, 0.3474, 0.7500)
Zr (0.2231, 0.7769, 0.4485)
Zr (0.2769, 0.7231, 0.9485)
Zr (0.3474, 0.1526, 0.2500)
Zr (0.4534, 0.5466, 0.2696)
Zr (0.5466, 0.4534, 0.7304)
Zr (0.6526, 0.8474, 0.7500)
Zr (0.7231, 0.2769, 0.0515)
Zr (0.7769, 0.2231, 0.5515)
Zr (0.8474, 0.6526, 0.2500)
Zr (0.9534, 0.0466, 0.2304)
Tl (0.0843, 0.4157, 0.2500)
Tl (0.4157, 0.0843, 0.7500)
Tl (0.5843, 0.9157, 0.2500)
Tl (0.9157, 0.5843, 0.7500)
C (0.1164, 0.8836, 0.1296)
C (0.3836, 0.6164, 0.6296)
C (0.6164, 0.3836, 0.3704)
C (0.8836, 0.1164, 0.8704)

***

Entry 3:
First-principles (PBE) data for a relaxed Zr4Tl2C crystal, as listed in the Alexandria database.

Properties
DFT formation energy, meV/atom: -74
Size of the total moment, μB/f.u.: 0.00
Symmetry: P2_1/m (11)

abc: 5.9651 6.2335 8.7179
angles: 90.00 108.52 90.00
Fractional positions:
Zr (0.0670, 0.0072, 0.3070)
Zr (0.0670, 0.4928, 0.3070)
Zr (0.3337, 0.2500, 0.0448)
Zr (0.4229, 0.2500, 0.6678)
Zr (0.5771, 0.7500, 0.3322)
Zr (0.6663, 0.7500, 0.9552)
Zr (0.9330, 0.5072, 0.6930)
Zr (0.9330, 0.9928, 0.6930)
Tl (0.1979, 0.7500, 0.0161)
Tl (0.3672, 0.7500, 0.6082)
Tl (0.6328, 0.2500, 0.3918)
Tl (0.8021, 0.2500, 0.9839)
C (0.1699, 0.2500, 0.7939)
C (0.8301, 0.7500, 0.2061)

***

Entry 4:
First-principles (PBE) data for a relaxed Zr3TlC crystal, as listed in the Alexandria database.

Properties
DFT formation energy, meV/atom: -116
Size of the total moment, μB/f.u.: 0.00
Symmetry: C2/c (15)

abc: 8.4508 8.4508 6.3057
angles: 109.71 109.71 84.44
Fractional positions:
Zr (0.0914, 0.6607, 0.5044)
Zr (0.1550, 0.5817, 0.9981)
Zr (0.2089, 0.2860, 0.2605)
Zr (0.2860, 0.2089, 0.7605)
Zr (0.3393, 0.9086, 0.9956)
Zr (0.4183, 0.8450, 0.5019)
Zr (0.5817, 0.1550, 0.4981)
Zr (0.6607, 0.0914, 0.0044)
Zr (0.7140, 0.7911, 0.2395)
Zr (0.7911, 0.7140, 0.7395)
Zr (0.8450, 0.4183, 0.0019)
Zr (0.9086, 0.3393, 0.4956)
Tl (0.0432, 0.9568, 0.2500)
Tl (0.4809, 0.5191, 0.7500)
Tl (0.5191, 0.4809, 0.2500)
Tl (0.9568, 0.0432, 0.7500)
C (0.1750, 0.4327, 0.6326)
C (0.4327, 0.1750, 0.1326)
C (0.5673, 0.8250, 0.8674)
C (0.8250, 0.5673, 0.3674)

***

> Among the records above, which one has the highest DFT formation energy?

number 1

***

> Look up the size of the total moment of the third one.

0.00 μB/f.u.